Below is a relaxed structure of Ga3Ni3Pt, with properties calculated at the PBE level.

Computed properties:
As for the calculated density: 10.18 g/cm3. Its magnetic moment is 0.0000 μB per atom. The formation energy from the elements comes out at -289.8 meV per atom. For the volume, the calculation gives 13.5 Å³ per atom.

a = 4.4859 Å, b = 6.9803 Å, c = 6.9803 Å
α = 120.00°, β = 90.00°, γ = 90.00°
With the nearest neighbours (Å) after each atom.
Element x y z (fractional)
Ga: 0.7500 0.2195 0.2668  5 Ni 2.44-2.62, 1 Pt 2.49
Ga: 0.7500 0.0474 0.7805  5 Ni 2.44-2.62, 1 Pt 2.49
Ga: 0.2500 0.2668 0.0474  5 Ni 2.44-2.62, 1 Pt 2.49
Ga: 0.7500 0.7332 0.9526  5 Ni 2.44-2.62, 1 Pt 2.49
Ga: 0.2500 0.9526 0.2195  5 Ni 2.44-2.62, 1 Pt 2.49
Ga: 0.2500 0.7805 0.7332  5 Ni 2.44-2.62, 1 Pt 2.49
Ni: 0.7500 0.4577 0.1047  5 Ga 2.44-2.62, 2 Ni 2.65, 2 Pt 2.72
Ni: 0.7500 0.6469 0.5423  5 Ga 2.44-2.62, 2 Ni 2.65, 2 Pt 2.72
Ni: 0.2500 0.1047 0.6469  5 Ga 2.44-2.62, 2 Ni 2.65, 2 Pt 2.72
Ni: 0.7500 0.8953 0.3531  5 Ga 2.44-2.62, 2 Ni 2.65, 2 Pt 2.72
Ni: 0.2500 0.3531 0.4577  5 Ga 2.44-2.62, 2 Ni 2.65, 2 Pt 2.72
Ni: 0.2500 0.5423 0.8953  5 Ga 2.44-2.62, 2 Ni 2.65, 2 Pt 2.72
Pt: 0.2500 0.6667 0.3333  3 Ga 2.49, 9 Ni 2.72-2.73
Pt: 0.7500 0.3333 0.6667  3 Ga 2.49, 9 Ni 2.72-2.73